*A*
DFT (GGA-PBE) results for a relaxed Cr2GeH crystal.

Unit cell a=4.150 b=4.150 c=4.150 alpha=60.00 beta=60.00 gamma=60.00
Each line ends with the local moment (μB).
Atoms (fractional coordinates):
Ge1 0.500 0.500 0.500  -0.18
Cr1 0.250 0.250 0.250  3.04
Cr2 0.750 0.750 0.750  3.04
H1 0.000 0.000 0.000  -0.06

M_tot, μB/cell: 6.33
SG: Fm-3m


*B*
DFT (GGA-PBE) results for a relaxed Cr2GeH crystal.

Unit cell a=2.771 b=2.771 c=6.271 alpha=77.24 beta=77.24 gamma=60.00
Atoms (fractional coordinates):
H1 0.000 0.000 0.000
Cr1 0.279 0.279 0.163
Cr2 0.721 0.721 0.837
Ge1 0.500 0.500 0.500

M_tot, μB/cell: 0.00
SG: R-3m


*C*
DFT (GGA-PBE) results for a relaxed Cr2GeH crystal.

Unit cell a=4.481 b=4.481 c=5.655 alpha=66.66 beta=66.66 gamma=90.00
Each line ends with the local moment (μB).
Atoms (fractional coordinates):
Cr1 0.375 0.125 0.250  0.46
Cr2 0.375 0.625 0.750  0.46
Cr3 0.375 0.625 0.250  0.46
H1 0.250 0.750 0.500  0.00
H2 0.500 0.500 0.000  0.00
Cr4 0.875 0.625 0.750  0.46
Ge1 0.750 0.250 0.500  -0.03
Ge2 0.000 0.000 0.000  -0.03

M_tot, μB/cell: 1.87
SG: I4_1/amd


Which of them is most stable, and which least? Most stable: *B*; least stable: *A*.


*A*
DFT (GGA-PBE) results for a relaxed CrGeH crystal.

Unit cell a=3.004 b=3.004 c=8.276 alpha=90.00 beta=90.00 gamma=120.00
Each line ends with the local moment (μB).
Atoms (fractional coordinates):
Ge1 0.000 0.000 0.000  -0.06
H1 0.667 0.334 0.750  -0.03
Ge2 0.000 0.000 0.500  -0.06
H2 0.333 0.666 0.250  -0.03
Cr1 0.666 0.333 0.250  2.33
Cr2 0.334 0.667 0.750  2.33

M_tot, μB/cell: 4.71
SG: P6_3/mmc


*B*
DFT (GGA-PBE) results for a relaxed CrGeH crystal.

Unit cell a=3.389 b=3.389 c=5.957 alpha=90.00 beta=90.00 gamma=90.00
Atoms (fractional coordinates):
H1 0.500 0.000 0.365
Cr1 0.000 0.000 0.500
Cr2 0.500 0.500 0.500
H2 0.000 0.500 0.635
Ge1 0.000 0.500 0.155
Ge2 0.500 0.000 0.845

M_tot, μB/cell: 0.00
SG: P4/nmm


Which of them is most stable, and which least? Most stable: *A*; least stable: *B*.


*A*
DFT (GGA-PBE) results for a relaxed CrGeH2 crystal.

Unit cell a=3.662 b=3.662 c=6.222 alpha=72.89 beta=72.89 gamma=90.00
Each line ends with the local moment (μB).
Atoms (fractional coordinates):
H1 0.260 0.625 0.250  -0.03
Ge1 0.750 0.250 0.500  -0.09
H2 0.875 0.740 0.750  -0.02
Cr1 0.500 0.500 0.000  2.14
Cr2 0.250 0.750 0.500  2.12
Ge2 0.000 0.000 0.000  -0.09
H3 0.490 0.125 0.250  -0.03
H4 0.375 0.510 0.750  -0.03

M_tot, μB/cell: 4.00
SG: I-42d


*B*
DFT (GGA-PBE) results for a relaxed CrGeH2 crystal.

Unit cell a=3.768 b=3.768 c=3.768 alpha=60.00 beta=60.00 gamma=60.00
Each line ends with the local moment (μB).
Atoms (fractional coordinates):
H1 0.250 0.250 0.250  -0.02
Cr1 0.000 0.000 0.000  3.08
Ge1 0.500 0.500 0.500  -0.06
H2 0.750 0.750 0.750  -0.02

M_tot, μB/cell: 3.18
SG: Fm-3m


Which of them is most stable, and which least? Most stable: *A*; least stable: *B*.


*A*
DFT (GGA-PBE) results for a relaxed HfCrGe2 crystal.

Unit cell a=4.087 b=4.087 c=5.252 alpha=67.10 beta=67.10 gamma=60.00
Each line ends with the local moment (μB).
Atoms (fractional coordinates):
Ge1 0.233 0.233 0.300  -0.05
Hf1 0.000 0.000 0.000  -0.16
Cr1 0.500 0.500 0.500  2.38
Ge2 0.767 0.767 0.700  -0.05

M_tot, μB/cell: 2.21
SG: R-3m


*B*
DFT (GGA-PBE) results for a relaxed HfCrGe2 crystal.

Unit cell a=8.191 b=9.241 c=9.994 alpha=90.00 beta=90.00 gamma=90.00
Atoms (fractional coordinates):
Ge1 0.500 0.868 0.600
Hf1 0.500 0.334 0.180
Hf2 0.745 0.671 0.548
Cr1 0.251 0.079 0.255
Hf3 0.500 0.834 0.320
Ge2 0.500 0.368 0.900
Ge3 0.000 0.375 0.907
Ge4 0.000 0.625 0.093
Ge5 0.157 0.328 0.181
Hf4 0.745 0.829 0.048
Ge6 0.000 0.961 0.875
Ge7 0.500 0.042 0.121
Cr2 0.749 0.579 0.245
Hf5 0.255 0.671 0.548
Hf6 0.255 0.329 0.452
Cr3 0.744 0.000 0.500
Cr4 0.256 0.500 0.000
Ge8 0.500 0.958 0.879
Ge9 0.500 0.132 0.400
Cr5 0.744 0.500 0.000
Ge10 0.000 0.125 0.407
Cr6 0.749 0.421 0.755
Hf7 0.500 0.166 0.680
Ge11 0.157 0.172 0.681
Ge12 0.843 0.828 0.319
Cr7 0.251 0.921 0.745
Ge13 0.500 0.458 0.621
Hf8 0.255 0.829 0.048
Ge14 0.000 0.461 0.625
Ge15 0.000 0.539 0.375
Cr8 0.251 0.421 0.755
Ge16 0.843 0.328 0.181
Cr9 0.749 0.079 0.255
Ge17 0.157 0.828 0.319
Hf9 0.500 0.666 0.820
Ge18 0.000 0.875 0.593
Ge19 0.500 0.632 0.100
Ge20 0.500 0.542 0.379
Hf10 0.745 0.171 0.952
Hf11 0.255 0.171 0.952
Cr10 0.251 0.579 0.245
Ge21 0.157 0.672 0.819
Hf12 0.745 0.329 0.452
Cr11 0.256 0.000 0.500
Ge22 0.000 0.039 0.125
Ge23 0.843 0.672 0.819
Cr12 0.749 0.921 0.745
Ge24 0.843 0.172 0.681

M_tot, μB/cell: 0.01
SG: Pbam


Which of them is most stable, and which least? Most stable: *B*; least stable: *A*.